No. 1
Material: FeCuS2Cl
Method: DFT, PBEsol
State: relaxed

Output
DFT total energy = -4.4506 eV/atom
Fermi-level density of states = 0.935 states/eV/atom
energy relative to the elements, uncorrected = 176 kJ/mol of formula units
crystal system = tetragonal

Structure (CIF):
```
data_FeCuS2Cl
_space_group_name_H-M_alt 'P 4/m m m'
_space_group_IT_number 123
_space_group_name_Hall '-P 4 2'
_cell_length_a 4.3408
_cell_length_b 4.3408
_cell_length_c 4.7129
_cell_angle_alpha 90.00
_cell_angle_beta 90.00
_cell_angle_gamma 90.00
loop_
_atom_site_label
_atom_site_fract_x
_atom_site_fract_y
_atom_site_fract_z
_atom_site_occupancy
Fe1 0.0000 0.0000 0.0000 1
Cu1 0.5000 0.5000 0.5000 1
S1 0.0000 0.5000 0.0000 1
Cl1 0.0000 0.0000 0.5000 1
```

=====

No. 2
Material: MgMnNi2
Method: DFT, PBEsol
State: relaxed

Output
DFT total energy = -5.8346 eV/atom
Fermi-level density of states = 0.647 states/eV/atom
energy relative to the elements = 114 meV/atom
crystal system = orthorhombic

Structure (CIF):
```
data_MgMnNi2
_space_group_name_H-M_alt 'P m m 2'
_space_group_IT_number 25
_cell_length_a 2.6743
_cell_length_b 3.6130
_cell_length_c 5.2349
_cell_angle_alpha 90.00
_cell_angle_beta 90.00
_cell_angle_gamma 90.00
loop_
_space_group_symop_operation_xyz
'x,y,z'
'-x,-y,z'
'-x,y,z'
'x,-y,z'
loop_
_atom_site_label
_atom_site_fract_x
_atom_site_fract_y
_atom_site_fract_z
_atom_site_occupancy
Mg1 0.0000 0.0000 0.0000 1
Mn1 0.5000 0.5000 0.3087 1
Ni1 0.0000 0.0000 0.5085 1
Ni2 0.5000 0.5000 0.7631 1
```

=====

No. 3
Material: Ta3CdPt
Method: DFT, PBEsol
State: relaxed

Output
DFT total energy = -7.9759 eV/atom
Fermi-level density of states = 1.256 states/eV/atom
energy relative to the elements = 1187 meV/atom
crystal system = cubic
polymorph energy (0 for the lowest one) = 0.000 eV per atom

Structure (CIF):
```
data_Ta3CdPt
_space_group_name_H-M_alt 'P m -3 m'
_space_group_IT_number 221
_space_group_name_Hall '-P 4 2 3'
_cell_length_a 4.8459
_cell_length_b 4.8459
_cell_length_c 4.8459
_cell_angle_alpha 90.00
_cell_angle_beta 90.00
_cell_angle_gamma 90.00
loop_
_atom_site_label
_atom_site_fract_x
_atom_site_fract_y
_atom_site_fract_z
_atom_site_occupancy
Ta1 0.0000 0.0000 0.5000 1
Cd1 0.5000 0.5000 0.5000 1
Pt1 0.0000 0.0000 0.0000 1
```

=====

No. 4
Material: Sr2P3Pb3O13
Method: DFT, PBEsol
State: relaxed

Output
DFT total energy = -7.0529 eV/atom
Fermi-level density of states = 0.248 states/eV/atom
energy relative to the elements, uncorrected = -4517 kJ/mol of formula units
crystal system = hexagonal

Structure (CIF):
```
data_Sr2P3Pb3O13
_space_group_name_H-M_alt 'P 63/m'
_space_group_IT_number 176
_space_group_name_Hall '-P 6c'
_cell_length_a 9.7297
_cell_length_b 9.7297
_cell_length_c 7.3025
_cell_angle_alpha 90.00
_cell_angle_beta 90.00
_cell_angle_gamma 120.00
loop_
_atom_site_label
_atom_site_fract_x
_atom_site_fract_y
_atom_site_fract_z
_atom_site_occupancy
Sr1 0.3333 0.6667 0.0031 1
P1 0.0328 0.6275 0.7500 1
Pb1 0.9998 0.2359 0.7500 1
O1 0.0000 0.0000 0.2500 1
O2 0.0891 0.7388 0.5788 1
O3 0.1248 0.5348 0.7500 1
O4 0.1473 0.4867 0.2500 1
```

=====

No. 5
Material: CoNi2Se
Method: DFT, PBEsol
State: relaxed

Output
DFT total energy = -5.8552 eV/atom
Fermi-level density of states = 1.354 states/eV/atom
energy relative to the elements, uncorrected = 46 kJ/mol of formula units
crystal system = orthorhombic

Structure (CIF):
```
data_CoNi2Se
_space_group_name_H-M_alt 'I m m 2'
_space_group_IT_number 44
_cell_length_a 3.3526
_cell_length_b 3.7701
_cell_length_c 7.2900
_cell_angle_alpha 90.00
_cell_angle_beta 90.00
_cell_angle_gamma 90.00
loop_
_space_group_symop_operation_xyz
'x,y,z'
'-x,-y,z'
'-x,y,z'
'x,-y,z'
'x+1/2,y+1/2,z+1/2'
'-x+1/2,-y+1/2,z+1/2'
'-x+1/2,y+1/2,z+1/2'
'x+1/2,-y+1/2,z+1/2'
loop_
_atom_site_label
_atom_site_fract_x
_atom_site_fract_y
_atom_site_fract_z
_atom_site_occupancy
Co1 0.0000 0.0000 0.0000 1
Ni1 0.0000 0.0000 0.4590 1
Ni2 0.0000 0.5000 0.2292 1
Se1 0.0000 0.5000 0.7276 1
```

=====

No. 6
Material: CaInCu
Method: DFT, PBEsol
State: relaxed

Output
DFT total energy = -3.4086 eV/atom
Fermi-level density of states = 0.609 states/eV/atom
energy relative to the elements = -259 meV/atom
crystal system = hexagonal

Structure (CIF):
```
data_CaInCu
_space_group_name_H-M_alt 'P -6 m 2'
_space_group_IT_number 187
_space_group_name_Hall 'P -6 2'
_cell_length_a 4.6030
_cell_length_b 4.6030
_cell_length_c 3.6065
_cell_angle_alpha 90.00
_cell_angle_beta 90.00
_cell_angle_gamma 120.00
loop_
_atom_site_label
_atom_site_fract_x
_atom_site_fract_y
_atom_site_fract_z
_atom_site_occupancy
Ca1 0.0000 0.0000 0.0000 1
In1 0.6667 0.3333 0.5000 1
Cu1 0.3333 0.6667 0.5000 1
```

=====

No. 7
Material: NdB2Ir2
Method: DFT, PBEsol
State: relaxed

Output
DFT total energy = -8.5003 eV/atom
Fermi-level density of states = 0.427 states/eV/atom
energy relative to the elements = -731 meV/atom
crystal system = orthorhombic

Structure (CIF):
```
data_NdB2Ir2
_space_group_name_H-M_alt 'F d d d'
_space_group_IT_number 70
_cell_length_a 5.9921
_cell_length_b 9.3156
_cell_length_c 10.6146
_cell_angle_alpha 90.00
_cell_angle_beta 90.00
_cell_angle_gamma 90.00
loop_
_space_group_symop_operation_xyz
'x,y,z'
'-x,-y,-z'
'-x+1/4,-y+1/4,z'
'x+1/4,y+1/4,-z'
'x,-y+1/4,-z+1/4'
'-x,y+1/4,z+1/4'
'-x+1/4,y,-z+1/4'
'x+1/4,-y,z+1/4'
'x,y+1/2,z+1/2'
'-x,-y+1/2,-z+1/2'
'-x+1/4,-y+3/4,z+1/2'
'x+1/4,y+3/4,-z+1/2'
'x,-y+3/4,-z+3/4'
'-x,y+3/4,z+3/4'
'-x+1/4,y+1/2,-z+3/4'
'x+1/4,-y+1/2,z+3/4'
'x+1/2,y,z+1/2'
'-x+1/2,-y,-z+1/2'
'-x+3/4,-y+1/4,z+1/2'
'x+3/4,y+1/4,-z+1/2'
'x+1/2,-y+1/4,-z+3/4'
'-x+1/2,y+1/4,z+3/4'
'-x+3/4,y,-z+3/4'
'x+3/4,-y,z+3/4'
'x+1/2,y+1/2,z'
'-x+1/2,-y+1/2,-z'
'-x+3/4,-y+3/4,z'
'x+3/4,y+3/4,-z'
'x+1/2,-y+3/4,-z+1/4'
'-x+1/2,y+3/4,z+1/4'
'-x+3/4,y+1/2,-z+1/4'
'x+3/4,-y+1/2,z+1/4'
loop_
_atom_site_label
_atom_site_fract_x
_atom_site_fract_y
_atom_site_fract_z
_atom_site_occupancy
Nd1 0.1250 0.1250 0.1250 1
B1 0.1250 0.3049 0.6250 1
Ir1 0.1250 0.1250 0.4959 1
```

=====

No. 8
Material: BaZr2In
Method: DFT, PBEsol
State: relaxed

Output
DFT total energy = -5.5416 eV/atom
Fermi-level density of states = 1.334 states/eV/atom
energy relative to the elements = 286 meV/atom
crystal system = orthorhombic

Structure (CIF):
```
data_BaZr2In
_space_group_name_H-M_alt 'P m m m'
_space_group_IT_number 47
_cell_length_a 3.3510
_cell_length_b 5.3864
_cell_length_c 5.7113
_cell_angle_alpha 90.00
_cell_angle_beta 90.00
_cell_angle_gamma 90.00
loop_
_space_group_symop_operation_xyz
'x,y,z'
'-x,-y,-z'
'-x,-y,z'
'x,y,-z'
'x,-y,-z'
'-x,y,z'
'-x,y,-z'
'x,-y,z'
loop_
_atom_site_label
_atom_site_fract_x
_atom_site_fract_y
_atom_site_fract_z
_atom_site_occupancy
Ba1 0.0000 0.0000 0.0000 1
Zr1 0.0000 0.5000 0.5000 1
Zr2 0.5000 0.5000 0.0000 1
In1 0.5000 0.0000 0.5000 1
```

=====

No. 9
Material: Li2TlCr
Method: DFT, PBEsol
State: relaxed

Output
DFT total energy = -3.9853 eV/atom
Fermi-level density of states = 0.424 states/eV/atom
energy relative to the elements = 216 meV/atom
crystal system = orthorhombic

Structure (CIF):
```
data_Li2TlCr
_space_group_name_H-M_alt 'I m m m'
_space_group_IT_number 71
_space_group_name_Hall '-I 2 2'
_cell_length_a 3.8849
_cell_length_b 4.1774
_cell_length_c 8.4570
_cell_angle_alpha 90.00
_cell_angle_beta 90.00
_cell_angle_gamma 90.00
loop_
_atom_site_label
_atom_site_fract_x
_atom_site_fract_y
_atom_site_fract_z
_atom_site_occupancy
Li1 0.0000 0.0000 0.2488 1
Tl1 0.0000 0.5000 0.0000 1
Cr1 0.0000 0.5000 0.5000 1
```

=====

No. 10
Material: HgTeCl2
Method: DFT, PBEsol
State: relaxed

Output
DFT total energy = -2.0610 eV/atom
Fermi-level density of states = 0.685 states/eV/atom
energy relative to the elements, uncorrected = -13 kJ/mol of formula units
crystal system = tetragonal
polymorph energy (0 for the lowest one) = 0.043 eV per atom

Structure (CIF):
```
data_HgTeCl2
_space_group_name_H-M_alt 'P 4 m m'
_space_group_IT_number 99
_cell_length_a 3.4636
_cell_length_b 3.4636
_cell_length_c 7.9218
_cell_angle_alpha 90.00
_cell_angle_beta 90.00
_cell_angle_gamma 90.00
loop_
_space_group_symop_operation_xyz
'x,y,z'
'-y,x,z'
'-x,-y,z'
'y,-x,z'
'-x,y,z'
'y,x,z'
'x,-y,z'
'-y,-x,z'
loop_
_atom_site_label
_atom_site_fract_x
_atom_site_fract_y
_atom_site_fract_z
_atom_site_occupancy
Hg1 0.0000 0.0000 0.0000 1
Te1 0.5000 0.5000 0.2614 1
Cl1 0.0000 0.0000 0.4762 1
Cl2 0.5000 0.5000 0.8175 1
```

=====

- What is the formula in the fourth record?
  Sr2P3Pb3O13

=====

- Which value of Fermi-level density of states does entry 8 give?
  1.334 states/eV/atom